Entry 1:
Entry from the Alexandria database: Li2ZnAu after structural relaxation (PBE).

Cell and atoms, written as POSCAR:
```
Li2ZnAu
1.0
-1.9585 1.9585 3.9432
1.9585 -1.9585 3.9432
1.9585 1.9585 -3.9432
Li Zn Au
2 1 1
direct
0.2500 0.7500 0.5000 Li
0.7500 0.2500 0.5000 Li
0.0000 0.0000 0.0000 Zn
0.5000 0.5000 0.0000 Au
```

Computed properties:
The formation energy is -0.395 eV per atom. For the total DFT energy (no corrections), the calculation gives -0.0915 Ha/atom. For the density, the calculation gives 7583 kg/m3.

Entry 2:
Entry from the Alexandria database: InReIr after structural relaxation (PBE).

Cell and atoms, written as POSCAR:
```
InReIr
1.0
0.0000 3.0585 3.0585
3.0585 0.0000 3.0585
3.0585 3.0585 0.0000
In Re Ir
1 1 1
direct
0.0000 0.0000 0.0000 In
0.5000 0.5000 0.5000 Re
0.2500 0.2500 0.2500 Ir
```

Computed properties:
The distance to the lowest polymorph of the same formula is 0.268 eV per atom. The formation energy is 0.379 eV per atom. For the total DFT energy (no corrections), the calculation gives -0.2807 Ha/atom. For the density, the calculation gives 14314 kg/m3.

Entry 3:
Entry from the Alexandria database: KIr2Au after structural relaxation (PBE).

Cell and atoms, written as POSCAR:
```
KIr2Au
1.0
1.4192 -2.3869 0.0000
1.4192 2.3869 0.0000
0.0000 0.0000 10.5715
K Ir Au
1 2 1
direct
0.0000 0.0000 0.0000 K
0.5000 0.5000 0.2677 Ir
0.5000 0.5000 0.7323 Ir
0.0000 0.0000 0.5000 Au
```

Computed properties:
The distance to the lowest polymorph of the same formula is 0.392 eV per atom. The formation energy is 0.705 eV per atom. For the total DFT energy (no corrections), the calculation gives -0.1771 Ha/atom. For the density, the calculation gives 14386 kg/m3.

Entry 4:
Entry from the Alexandria database: Ga2ReTcBi after structural relaxation (PBE).

Cell and atoms, written as POSCAR:
```
Ga2ReTcBi
1.0
4.8330 0.0000 0.0000
0.0000 4.8330 0.0000
0.0000 0.0000 5.3245
Ga Re Tc Bi
2 1 1 1
direct
0.0000 0.5000 0.0000 Ga
0.5000 0.0000 0.0000 Ga
0.0000 0.0000 0.0000 Re
0.5000 0.5000 0.5000 Tc
0.0000 0.0000 0.5000 Bi
```

Computed properties:
The formation energy is 1.135 eV per atom. For the total DFT energy (no corrections), the calculation gives -0.1990 Ha/atom. For the density, the calculation gives 8447 kg/m3.

Entry 5:
Entry from the Alexandria database: YGaPt2 after structural relaxation (PBE).

Cell and atoms, written as POSCAR:
```
YGaPt2
1.0
3.3922 0.0000 0.0000
0.0000 3.3922 0.0000
0.0000 0.0000 6.4021
Y Ga Pt
1 1 2
direct
0.0000 0.0000 0.0000 Y
0.0000 0.0000 0.5000 Ga
0.5000 0.5000 0.2809 Pt
0.5000 0.5000 0.7191 Pt
```

Computed properties:
The formation energy is -0.867 eV per atom. For the total DFT energy (no corrections), the calculation gives -0.2300 Ha/atom. For the density, the calculation gives 12370 kg/m3.

Entry 6:
Entry from the Alexandria database: Tm6PO12 after structural relaxation (PBE).

Cell and atoms, written as POSCAR:
```
Tm6PO12
1.0
4.7570 2.7465 3.0223
-4.7570 2.7465 3.0223
0.0000 -5.4929 3.0223
Tm P O
6 1 12
direct
0.1084 0.6410 0.8024 Tm
0.1976 0.8916 0.3590 Tm
0.3590 0.1976 0.8916 Tm
0.6410 0.8024 0.1084 Tm
0.8024 0.1084 0.6410 Tm
0.8916 0.3590 0.1976 Tm
0.5000 0.5000 0.5000 P
0.0612 0.3230 0.9057 O
0.0943 0.9388 0.6770 O
0.2220 0.5255 0.4336 O
0.3230 0.9057 0.0612 O
0.4336 0.2220 0.5255 O
0.4745 0.5664 0.7780 O
0.5255 0.4336 0.2220 O
0.5664 0.7780 0.4745 O
0.6770 0.0943 0.9388 O
0.7780 0.4745 0.5664 O
0.9057 0.0612 0.3230 O
0.9388 0.6770 0.0943 O
```

Computed properties:
For the total DFT energy (no corrections), the calculation gives -0.2954 Ha/atom. For the density, the calculation gives 8667 kg/m3. The value obtained for the uncorrected formation energy is -5883 kJ/mol of formula units.

Entry 7:
Entry from the Alexandria database: AcSc3Cu after structural relaxation (PBE).

Cell and atoms, written as POSCAR:
```
AcSc3Cu
1.0
5.1394 0.0000 0.0000
0.0000 5.1394 0.0000
0.0000 0.0000 5.1394
Ac Sc Cu
1 3 1
direct
0.0000 0.0000 0.0000 Ac
0.0000 0.5000 0.5000 Sc
0.5000 0.0000 0.5000 Sc
0.5000 0.5000 0.0000 Sc
0.5000 0.5000 0.5000 Cu
```

Computed properties:
The formation energy is 0.055 eV per atom. For the total DFT energy (no corrections), the calculation gives -0.1979 Ha/atom. For the density, the calculation gives 5204 kg/m3.

Entry 8:
Entry from the Alexandria database: ScTe2As after structural relaxation (PBE).

Cell and atoms, written as POSCAR:
```
ScTe2As
1.0
3.6327 0.0000 0.0000
0.0000 3.6327 0.0000
0.0000 0.0000 8.2627
Sc Te As
1 2 1
direct
0.0000 0.0000 0.0000 Sc
0.0000 0.0000 0.6290 Te
0.5000 0.5000 0.2280 Te
0.5000 0.5000 0.8974 As
```

Computed properties:
For the total DFT energy (no corrections), the calculation gives -0.1784 Ha/atom. For the density, the calculation gives 5712 kg/m3. The value obtained for the uncorrected formation energy is -208 kJ/mol of formula units.

Entry 9:
Entry from the Alexandria database: CaP2SBr after structural relaxation (PBE).

Cell and atoms, written as POSCAR:
```
CaP2SBr
1.0
4.5468 0.0000 0.0000
0.0000 4.5468 0.0000
0.0000 0.0000 5.7645
Ca P S Br
1 2 1 1
direct
0.0000 0.0000 0.0000 Ca
0.0000 0.5000 0.5000 P
0.5000 0.0000 0.5000 P
0.0000 0.0000 0.5000 S
0.5000 0.5000 0.0000 Br
```

Computed properties:
The distance to the lowest polymorph of the same formula is 0.000 eV per atom. For the total DFT energy (no corrections), the calculation gives -0.1406 Ha/atom. For the density, the calculation gives 2982 kg/m3. The value obtained for the uncorrected formation energy is -49 kJ/mol of formula units.

Entry 10:
Entry from the Alexandria database: LaIn2Ag2 after structural relaxation (PBE).

Cell and atoms, written as POSCAR:
```
LaIn2Ag2
1.0
-2.3656 2.3656 5.6212
2.3656 -2.3656 5.6212
2.3656 2.3656 -5.6212
La In Ag
1 2 2
direct
0.0000 0.0000 0.0000 La
0.3776 0.3776 0.0000 In
0.6224 0.6224 0.0000 In
0.2500 0.7500 0.5000 Ag
0.7500 0.2500 0.5000 Ag
```

Computed properties:
The distance to the lowest polymorph of the same formula is 0.014 eV per atom. The formation energy is -0.282 eV per atom. For the total DFT energy (no corrections), the calculation gives -0.1287 Ha/atom. For the density, the calculation gives 7710 kg/m3.

Entry 11:
Entry from the Alexandria database: PrSmGaPt after structural relaxation (PBE).

Cell and atoms, written as POSCAR:
```
PrSmGaPt
1.0
4.3432 0.0000 0.0000
0.0000 2.0829 5.5450
0.0000 -2.0829 5.5450
Pr Sm Ga Pt
1 1 1 1
direct
0.0000 0.0000 0.0000 Pr
0.5000 0.7166 0.7166 Sm
0.5000 0.4257 0.4257 Ga
0.0000 0.2755 0.2755 Pt
```

Computed properties:
The distance to the lowest polymorph of the same formula is 0.000 eV per atom. The formation energy is -0.849 eV per atom. For the total DFT energy (no corrections), the calculation gives -0.2018 Ha/atom. For the density, the calculation gives 9204 kg/m3.

Entry 12:
Entry from the Alexandria database: Tm4Th3Sc after structural relaxation (PBE).

Cell and atoms, written as POSCAR:
```
Tm4Th3Sc
1.0
7.7487 -2.8486 0.0000
7.7487 2.8486 0.0000
-2.0292 0.0000 5.5535
Tm Th Sc
4 3 1
direct
0.1321 0.1321 0.1910 Tm
0.2483 0.2483 0.8026 Tm
0.7517 0.7517 0.1974 Tm
0.8679 0.8679 0.8090 Tm
0.3800 0.3800 0.4136 Th
0.5000 0.5000 0.0000 Th
0.6200 0.6200 0.5864 Th
0.0000 0.0000 0.5000 Sc
```

Computed properties:
The distance to the lowest polymorph of the same formula is 0.085 eV per atom. The formation energy is 0.130 eV per atom. For the total DFT energy (no corrections), the calculation gives -0.2087 Ha/atom. For the density, the calculation gives 9596 kg/m3.

Entry 13:
Entry from the Alexandria database: Li2NdAu9 after structural relaxation (PBE).

Cell and atoms, written as POSCAR:
```
Li2NdAu9
1.0
2.7630 1.5952 9.3401
-2.7630 1.5952 9.3401
0.0000 -3.1904 9.3401
Li Nd Au
2 1 9
direct
0.1520 0.1520 0.1520 Li
0.8480 0.8480 0.8480 Li
0.0000 0.0000 0.0000 Nd
0.0834 0.5878 0.5878 Au
0.3327 0.3327 0.3327 Au
0.4122 0.4122 0.9166 Au
0.4122 0.9166 0.4122 Au
0.5000 0.5000 0.5000 Au
0.5878 0.0834 0.5878 Au
0.5878 0.5878 0.0834 Au
0.6673 0.6673 0.6673 Au
0.9166 0.4122 0.4122 Au
```

Computed properties:
The formation energy is -0.361 eV per atom. For the total DFT energy (no corrections), the calculation gives -0.1299 Ha/atom. For the density, the calculation gives 12981 kg/m3.

Entry 14:
Entry from the Alexandria database: Ba2AlSnPt6 after structural relaxation (PBE).

Cell and atoms, written as POSCAR:
```
Ba2AlSnPt6
1.0
-3.5051 3.5051 4.9504
3.5051 -3.5051 4.9504
3.5051 3.5051 -4.9504
Ba Al Sn Pt
2 1 1 6
direct
0.2500 0.7500 0.5000 Ba
0.7500 0.2500 0.5000 Ba
0.0000 0.0000 0.0000 Al
0.5000 0.5000 0.0000 Sn
0.2381 0.2381 0.0000 Pt
0.2380 0.2380 0.4760 Pt
0.2380 0.7620 0.0000 Pt
0.7620 0.2380 0.0000 Pt
0.7619 0.7619 0.0000 Pt
0.7620 0.7620 0.5240 Pt
```

Computed properties:
The formation energy is -0.302 eV per atom. For the total DFT energy (no corrections), the calculation gives -0.1869 Ha/atom. For the density, the calculation gives 10859 kg/m3.

Entry 15:
Entry from the Alexandria database: Ac7Tb2Nd2 after structural relaxation (PBE).

Cell and atoms, written as POSCAR:
```
Ac7Tb2Nd2
1.0
4.8522 -5.1529 0.0000
4.8522 5.1529 0.0000
-1.9161 0.0000 9.1301
Ac Tb Nd
7 2 2
direct
0.0000 0.0000 0.0000 Ac
0.0837 0.4599 0.7970 Ac
0.1585 0.1585 0.4181 Ac
0.4599 0.0837 0.7970 Ac
0.5401 0.9163 0.2030 Ac
0.8415 0.8415 0.5819 Ac
0.9163 0.5401 0.2030 Ac
0.3285 0.6715 0.5000 Tb
0.6715 0.3285 0.5000 Tb
0.3917 0.3917 0.1518 Nd
0.6083 0.6083 0.8482 Nd
```

Computed properties:
The distance to the lowest polymorph of the same formula is 0.000 eV per atom. The formation energy is 0.099 eV per atom. For the total DFT energy (no corrections), the calculation gives -0.1552 Ha/atom. For the density, the calculation gives 7985 kg/m3.

Entry 16:
Entry from the Alexandria database: AlSb2TeI after structural relaxation (PBE).

Cell and atoms, written as POSCAR:
```
AlSb2TeI
1.0
5.4668 0.0000 0.0000
0.0000 5.4668 0.0000
0.0000 0.0000 5.2464
Al Sb Te I
1 2 1 1
direct
0.0000 0.0000 0.0000 Al
0.0000 0.5000 0.0000 Sb
0.5000 0.0000 0.0000 Sb
0.0000 0.0000 0.5000 Te
0.5000 0.5000 0.5000 I
```

Computed properties:
The distance to the lowest polymorph of the same formula is 0.000 eV per atom. For the total DFT energy (no corrections), the calculation gives -0.1085 Ha/atom. For the density, the calculation gives 5560 kg/m3. The value obtained for the uncorrected formation energy is 184 kJ/mol of formula units.

Entry 17:
Entry from the Alexandria database: LiBeAu2 after structural relaxation (PBE).

Cell and atoms, written as POSCAR:
```
LiBeAu2
1.0
-1.5274 2.0428 4.6308
1.5274 -2.0428 4.6308
1.5274 2.0428 -4.6308
Li Be Au
1 1 2
direct
0.0000 0.0000 0.0000 Li
0.7452 0.2452 0.5000 Be
0.2814 0.7814 0.5000 Au
0.5506 0.5506 0.0000 Au
```

Computed properties:
The formation energy is -0.283 eV per atom. For the total DFT energy (no corrections), the calculation gives -0.1225 Ha/atom. For the density, the calculation gives 11777 kg/m3.

Entry 18:
Entry from the Alexandria database: Cs2ErBeO4 after structural relaxation (PBE).

Cell and atoms, written as POSCAR:
```
Cs2ErBeO4
1.0
0.0000 6.2029 11.9447
2.5528 0.0000 11.9447
2.5528 6.2029 0.0000
Cs Er Be O
4 2 2 8
direct
0.0509 0.0509 0.6991 Cs
0.3009 0.3009 0.9491 Cs
0.6991 0.6991 0.0509 Cs
0.9491 0.9491 0.3009 Cs
0.1250 0.1250 0.1250 Er
0.8750 0.8750 0.8750 Er
0.3750 0.3750 0.3750 Be
0.6250 0.6250 0.6250 Be
0.0638 0.6068 0.5249 O
0.3045 0.5249 0.6068 O
0.3932 0.9362 0.6955 O
0.4751 0.6955 0.9362 O
0.5249 0.3045 0.0638 O
0.6068 0.0638 0.3045 O
0.6955 0.4751 0.3932 O
0.9362 0.3932 0.4751 O
```

Computed properties:
For the total DFT energy (no corrections), the calculation gives -0.2077 Ha/atom. For the density, the calculation gives 4443 kg/m3. The value obtained for the uncorrected formation energy is -1485 kJ/mol of formula units.